Entry 1:
Entry from Alexandria via LeMat-Bulk: a relaxed structure of KBeAl2 (PBE).

Cell lengths 4.4047, 4.1295, 4.7296 Å; angles 90.00, 90.00, 90.00 degrees
Last column: nearest neighbours and their distance in Å.
Sites, in units of the cell vectors:
Be 0.5000 0.0000 0.5000  4 K 3.02, 8 Al 3.14-3.23
K 0.0000 0.5000 0.5000  4 Be 3.02, 8 Al 3.14-3.23
Al 0.0000 0.0000 0.0000  4 Al 3.02, 4 K 3.14, 4 Be 3.23
Al 0.5000 0.5000 0.0000  4 Al 3.02, 4 Be 3.14, 4 K 3.23


Entry 2:
Entry from Alexandria via LeMat-Bulk: a relaxed structure of KBeAl2 (PBE).

Cell lengths 9.8821, 9.8821, 9.8821 Å; angles 18.02, 18.02, 18.02 degrees
Last column: nearest neighbours and their distance in Å.
Sites, in units of the cell vectors:
Be 0.2500 0.2500 0.2500  6 Al 2.57
K 0.7500 0.7500 0.7500  6 K 3.10
Al 0.9801 0.9801 0.9801  3 Be 2.57
Al 0.5199 0.5199 0.5199  3 Be 2.57


Entry 3:
Entry from Alexandria via LeMat-Bulk: a relaxed structure of KBeAl2 (PBE).

Cell lengths 4.3652, 4.3652, 7.5950 Å; angles 84.33, 84.33, 39.18 degrees
Last column: nearest neighbours and their distance in Å.
Sites, in units of the cell vectors:
Be 0.4891 0.4891 0.6260  3 Al 2.34-2.40
K 0.2406 0.2406 0.2685  2 K 2.93
Al 0.0100 0.0100 0.9128  2 Be 2.64, 5 Al 2.78-2.93
Al 0.7602 0.7602 0.6927  3 Be 2.34-2.40


Entry 4:
Entry from Alexandria via LeMat-Bulk: a relaxed structure of KBeAl2 (PBE).

Cell lengths 4.1925, 4.1925, 7.7468 Å; angles 85.37, 85.37, 40.09 degrees
Last column: nearest neighbours and their distance in Å.
Sites, in units of the cell vectors:
Be 0.7500 0.7500 0.7500  6 Al 2.50-2.53
K 0.2500 0.2500 0.2500  2 K 2.87
Al 0.0184 0.0184 0.8999  3 Be 2.50-2.53, 2 Al 2.77
Al 0.4816 0.4816 0.6001  3 Be 2.50-2.53, 2 Al 2.77


In eV/f.u., the energy values for the records above are, in order, -9.0 -10.2 -10.8 -11.0.
In eV per atom, the E_form values for the records above are, in order, 0.825 0.532 0.381 0.329.